Entry 1:
RbBaH2: relaxed, PBE-GGA.

Cell and atoms, written as extended XYZ:
```
8
Lattice="-0.5616 3.4703 2.4731 -3.4892 -3.8888 4.6604 7.5474 -1.4843 3.7572" Properties=species:S:1:pos:R:3 pbc="T T T"
Ba 0.2994 0.9776 4.2478
Ba 0.1331 -2.9653 6.0080
H -0.6929 -1.4579 3.7053
H -0.4667 -0.5226 6.1796
Rb 4.3605 -1.9751 9.2797
Rb 4.3373 -1.3574 4.6667
H 2.8506 1.5575 4.0165
H 1.0095 0.3262 1.5895
```

Calculated values
The calculation puts the volume at 129 Å³/f.u. As for the symmetry: P1, No. 1. As for the energy above the most stable polymorph in this dataset: 31 meV/atom. The calculation puts the calculated total energy at -2.6369 eV per atom.

Entry 2:
LaCdB2: relaxed, PBE-GGA.

Cell and atoms, written as extended XYZ:
```
8
Lattice="-3.8777 2.0676 -0.6081 -2.1242 -3.8781 0.3595 -3.6292 0.1393 7.4330" Properties=species:S:1:pos:R:3 pbc="T T T"
La 0.0000 0.0000 0.0000
B -3.6866 -1.6150 1.8552
La -5.2539 0.6508 3.3503
Cd -4.3771 -2.3221 3.8341
Cd -3.0009 -0.9053 -0.1243
B -5.5023 -1.5416 5.5711
B -2.6294 0.3267 1.6748
B -7.4438 -0.5127 5.2675
```

Calculated values
The calculation puts the volume at 75 Å³/f.u. The value obtained for the energy of formation is 0.627 eV per atom. As for the symmetry: I4_1/amd, No. 141. The calculation puts the calculated total energy at -4.1728 eV per atom.

Entry 3:
Hf2SiIr2: relaxed, PBE-GGA.

Cell and atoms, written as extended XYZ:
```
10
Lattice="-1.0668 -0.9120 -7.1344 -3.5279 -6.2189 1.3225 -2.9085 1.6963 0.2181" Properties=species:S:1:pos:R:3 pbc="T T T"
Si 0.0000 0.0000 0.0000
Hf -2.3964 -0.4892 -2.0537
Hf -3.9812 -3.4455 -0.1949
Hf -5.1068 -4.9454 -3.5401
Ir -3.4329 -5.6996 -1.4498
Si -2.2974 -3.5655 -2.9059
Hf -3.5220 -1.9891 -5.3989
Ir -1.1618 -1.4313 -4.3621
Ir -1.4274 -2.3836 -0.4954
Ir -3.1674 -4.7473 -5.3165
```

Calculated values
The calculation puts the volume at 89 Å³/f.u. The calculation puts the formation energy (no corrections) at -642 meV/atom. As for the symmetry: P4/mbm, No. 127. The calculation puts the calculated total energy at -9.2522 eV per atom.

Entry 4:
LaPr2Ga: relaxed, PBE-GGA.

Cell and atoms, written as extended XYZ:
```
4
Lattice="-3.1224 3.8654 -0.9859 -5.0155 -0.7042 0.1087 -2.7824 2.4004 5.2081" Properties=species:S:1:pos:R:3 pbc="T T T"
Pr -8.1946 4.2549 3.5902
La -5.4602 2.7808 2.1655
Ga 0.0000 0.0000 0.0000
Pr -2.7257 1.3067 0.7408
```

Calculated values
The calculation puts the volume at 126 Å³/f.u. The value obtained for the energy of formation is -0.057 eV per atom. As for the symmetry: R-3m, No. 166. As for the energy above the most stable polymorph in this dataset: 196 meV/atom. The calculation puts the calculated total energy at -4.4352 eV per atom.

Entry 5:
PmAgH8Ir2: relaxed, PBE-GGA.

Cell and atoms, written as extended XYZ:
```
12
Lattice="4.4665 0.0000 0.0000 2.2333 4.3546 0.1512 2.2333 1.8120 5.6426" Properties=species:S:1:pos:R:3 pbc="T T T"
H 1.1413 0.7818 1.8833
Ag 0.0000 0.0000 0.0000
H 2.2333 2.7826 2.0189
H 7.7918 5.3848 3.9105
Ir 2.2333 1.5308 0.9271
H 3.3252 0.7818 1.8833
H 6.6998 3.3840 3.7748
Pm 4.4665 3.0833 2.8969
H 4.4665 4.1741 5.0903
H 4.4665 1.9925 0.7034
H 5.6078 5.3848 3.9105
Ir 6.6998 4.6359 4.8666
```

Calculated values
The calculation puts the volume at 109 Å³/f.u. As for the symmetry: C2/m, No. 12. The calculation puts the calculated total energy at -4.4790 eV per atom.

Entry 6:
AlAg2Br5: relaxed, PBE-GGA.

Cell and atoms, written as extended XYZ:
```
16
Lattice="-6.3020 3.4138 2.7992 3.7637 1.7863 6.4690 1.4044 9.8683 0.5243" Properties=species:S:1:pos:R:3 pbc="T T T"
Br 0.8043 7.5807 2.2959
Br 2.3596 7.6493 6.0506
Br -1.9382 7.4876 7.4967
Br -0.6151 2.7625 1.7723
Al 3.8700 9.3406 6.5170
Br -0.5188 12.3057 8.0203
Br -4.0865 3.6439 3.6943
Br 2.9526 11.4244 6.0982
Br -3.4935 7.4190 3.7419
Ag -1.2692 2.6000 4.6341
Ag 2.5841 5.8273 3.4967
Ag -3.1510 1.7069 1.3996
Ag -0.5669 7.5341 4.8963
Br -1.2741 10.1723 4.6415
Al -5.0039 5.7277 3.2756
Br 0.1402 4.8960 5.1510
```

Calculated values
The calculation puts the volume at 259 Å³/f.u. The calculation puts the formation energy (no corrections) at -679 meV/atom. As for the symmetry: C2/c, No. 15. As for the energy above the most stable polymorph in this dataset: 0 meV/atom. The calculation puts the calculated total energy at -2.9050 eV per atom.